[1]
HfTi6Nb, optimized geometry, DFT PBE; crystal system = orthorhombic; symmetry = Amm2, No. 38; energy of formation from the pure elements = 53.6 meV per atom
1.0
4.482 0.000 0.000
0.000 5.682 -0.808
0.000 -0.447 5.722
Ti Hf Nb
6 1 1
Cartesian
0.000 4.442 2.797 Ti
2.241 3.075 4.243 Ti
2.241 0.806 2.113 Ti
0.000 2.163 0.658 Ti
0.000 1.595 3.547 Ti
0.000 4.957 -0.035 Ti
2.241 0.259 4.969 Hf
2.241 3.643 1.364 Nb

[2]
Hf2TiNb, optimized geometry, DFT PBE; crystal system = trigonal; symmetry = R3m, No. 160; relative energy among the computed polymorphs = 0.043 eV/atom; energy of formation from the pure elements = 145.6 meV per atom
1.0
3.081 0.000 0.000
1.540 2.668 0.000
1.540 0.889 9.851
Hf Ti Nb
2 1 1
Cartesian
1.540 0.889 2.504 Hf
1.540 0.889 7.340 Hf
3.081 1.779 4.932 Ti
3.081 1.779 0.001 Nb

[3]
HfTiNb, optimized geometry, DFT PBE; crystal system = trigonal; symmetry = P3m1, No. 156; relative energy among the computed polymorphs = 0.017 eV/atom; energy of formation from the pure elements = 45.4 meV per atom
1.0
4.727 0.000 0.000
-2.364 4.094 0.000
0.000 0.000 2.981
Hf Nb Ti
1 1 1
Cartesian
0.000 2.729 0.263 Hf
2.364 1.365 1.485 Nb
0.000 0.000 1.945 Ti

[4]
HfTiNb, optimized geometry, DFT PBE; crystal system = monoclinic; symmetry = C2/m, No. 12; relative energy among the computed polymorphs = 0.000 eV/atom; energy of formation from the pure elements = 28.4 meV per atom
1.0
6.751 0.000 0.000
0.000 3.377 0.000
-3.007 0.000 10.134
Nb Hf Ti
4 4 4
Cartesian
5.312 1.688 3.353 Nb
-0.064 0.000 1.714 Nb
-1.568 1.688 6.781 Nb
3.809 0.000 8.420 Nb
1.984 1.688 10.069 Hf
3.487 0.000 5.001 Hf
1.760 1.688 0.066 Hf
0.257 0.000 5.133 Hf
3.569 0.000 1.941 Ti
0.175 0.000 8.194 Ti
1.679 1.688 3.126 Ti
2.065 1.688 7.008 Ti

[5]
HfTi3Nb2, optimized geometry, DFT PBE; crystal system = monoclinic; symmetry = C2/m, No. 12; relative energy among the computed polymorphs = 0.000 eV/atom; energy of formation from the pure elements = 60.4 meV per atom
1.0
4.452 0.000 -1.376
-0.124 9.520 -0.402
-0.766 0.185 5.411
Ti Nb Hf
6 4 2
Cartesian
3.445 1.292 3.254 Ti
1.126 3.710 3.644 Ti
2.435 5.996 -0.012 Ti
0.117 8.413 0.379 Ti
0.709 1.154 2.293 Ti
2.853 8.551 1.340 Ti
2.963 3.531 1.697 Nb
0.598 6.174 1.936 Nb
1.099 8.463 3.557 Nb
2.462 1.243 0.076 Nb
0.210 3.561 0.679 Hf
3.352 6.145 2.954 Hf

[6]
HfTi8Nb2, optimized geometry, DFT PBE; crystal system = orthorhombic; symmetry = Fmmm, No. 69; energy of formation from the pure elements = 564.0 meV per atom
1.0
-2.212 -9.830 -1.495
3.084 -0.993 -3.649
1.918 -1.903 4.063
Nb Ti Hf
2 8 1
Cartesian
2.460 -7.417 -0.504 Nb
0.329 -5.309 -0.577 Nb
3.783 -5.060 -0.026 Ti
1.052 -9.922 -1.013 Ti
0.343 -7.946 1.112 Ti
-0.994 -7.666 -1.056 Ti
1.863 -5.236 1.662 Ti
0.926 -7.490 -2.743 Ti
2.446 -4.781 -2.193 Ti
1.738 -2.805 -0.068 Ti
0.000 0.000 0.000 Hf

[7]
HfTiNb2, optimized geometry, DFT PBE; crystal system = tetragonal; symmetry = I-42d, No. 122; relative energy among the computed polymorphs = 0.440 eV/atom; energy of formation from the pure elements = 518.7 meV per atom
1.0
-6.071 0.666 -4.172
0.176 -7.258 -1.416
-4.571 -3.781 -0.508
Nb Hf Ti
4 2 2
Cartesian
-4.829 -1.445 -2.852 Nb
-1.878 -5.388 -1.593 Nb
-5.637 -5.411 -2.496 Nb
-8.589 -8.500 -5.250 Nb
0.000 0.000 0.000 Hf
-6.795 -3.205 -3.737 Hf
-2.948 -3.296 -2.794 Ti
-3.671 -7.167 -2.359 Ti

[8]
HfTiNb2, optimized geometry, DFT PBE; crystal system = orthorhombic; symmetry = Cmcm, No. 63; relative energy among the computed polymorphs = 0.003 eV/atom; energy of formation from the pure elements = 81.6 meV per atom
1.0
4.582 1.036 0.000
-0.644 4.655 0.000
0.000 0.000 6.916
Ti Nb Hf
2 4 2
Cartesian
0.920 1.331 5.187 Ti
3.018 4.361 1.729 Ti
3.098 2.065 6.916 Nb
3.098 2.065 3.458 Nb
0.840 3.627 0.000 Nb
0.840 3.627 3.458 Nb
0.886 1.279 1.729 Hf
3.052 4.412 5.187 Hf

[9]
HfTiNb, optimized geometry, DFT PBE; crystal system = monoclinic; symmetry = C2/m, No. 12; relative energy among the computed polymorphs = 0.024 eV/atom; energy of formation from the pure elements = 52.5 meV per atom
1.0
-2.457 -5.128 -1.997
1.208 -2.122 3.964
-4.772 7.222 5.322
Hf Nb Ti
4 4 4
Cartesian
0.000 0.000 0.000 Hf
-1.229 -2.564 -0.998 Hf
-3.010 -0.014 3.644 Hf
-1.782 2.550 4.643 Hf
-2.331 -4.300 1.142 Nb
-3.690 4.272 6.146 Nb
-1.908 1.722 1.504 Nb
-5.320 0.373 1.821 Nb
-3.114 -0.771 0.536 Ti
-4.896 1.779 5.179 Ti
-1.125 -1.806 2.110 Ti
-4.115 2.866 2.789 Ti

[10]
HfTi3Nb2, optimized geometry, DFT PBE; crystal system = orthorhombic; symmetry = Cmcm, No. 63; relative energy among the computed polymorphs = 0.229 eV/atom; energy of formation from the pure elements = 289.4 meV per atom
1.0
5.886 0.000 0.000
0.000 6.263 0.754
0.000 -1.355 6.161
Ti Nb Hf
6 4 2
Cartesian
4.415 4.680 6.594 Ti
1.472 4.902 4.319 Ti
4.415 2.448 0.862 Ti
4.415 0.006 2.596 Ti
1.472 0.227 0.320 Ti
1.472 2.459 6.052 Ti
2.943 0.543 4.814 Nb
0.000 0.543 4.814 Nb
0.000 4.365 2.101 Nb
2.943 4.365 2.101 Nb
4.415 2.962 4.174 Hf
1.472 1.945 2.741 Hf

[11]
HfTi4Nb, optimized geometry, DFT PBE; crystal system = triclinic; symmetry = P-1, No. 2; relative energy among the computed polymorphs = 0.000 eV/atom; energy of formation from the pure elements = 65.1 meV per atom
1.0
-0.520 -2.295 2.280
8.296 -4.965 1.590
-4.336 9.033 3.402
Nb Ti Hf
2 8 2
Cartesian
4.203 -2.234 2.233 Nb
-0.764 4.007 5.039 Nb
1.091 2.379 6.175 Ti
4.560 -1.870 5.035 Ti
6.029 -3.856 3.369 Ti
-1.121 3.643 2.236 Ti
2.533 -0.199 3.903 Ti
0.907 1.971 3.368 Ti
2.349 -0.607 1.097 Ti
-2.589 5.629 3.903 Ti
-0.156 -0.828 2.664 Hf
3.596 2.600 4.608 Hf

[12]
HfTi2Nb4, optimized geometry, DFT PBE; crystal system = orthorhombic; symmetry = Cmmm, No. 65; energy of formation from the pure elements = 118.2 meV per atom
1.0
-0.834 2.908 1.566
-3.112 -0.928 0.067
2.190 -6.640 9.793
Nb Ti Hf
4 2 1
Cartesian
0.095 -0.045 3.839 Nb
-1.851 -4.616 7.586 Nb
-1.277 -1.280 1.697 Nb
-0.479 -3.380 9.728 Nb
-0.931 -2.058 7.032 Ti
-0.825 -2.602 4.393 Ti
-0.417 1.454 0.783 Hf